# Th3TcTe2 (PBE-GGA, optimized geometry)
data_Th3TcTe2
_chemical_formula_sum 'Th6 Tc2 Te4'
_cell_length_a 4.373
_cell_length_b 4.373
_cell_length_c 18.892
_cell_angle_alpha 90.00
_cell_angle_beta 90.00
_cell_angle_gamma 90.00
_symmetry_space_group_name_H-M 'I 4/m m m'
_symmetry_Int_Tables_number 139
_symmetry_space_group_name_Hall '-I 4 2'
loop_
_atom_site_label
_atom_site_fract_x
_atom_site_fract_y
_atom_site_fract_z
Th1 0.000 0.000 0.000
Th2 0.000 0.000 0.360
Tc1 0.000 0.000 0.500
Te1 0.000 0.000 0.181
# formation energy without anion corrections	-0.72	eV/atom
# final energy	-7.202	eV/atom

=====

# KSm2Tm3Te6 (PBE-GGA, optimized geometry)
data_KSm2Tm3Te6
_chemical_formula_sum 'K2 Sm4 Tm6 Te12'
_cell_length_a 19.497
_cell_length_b 4.347
_cell_length_c 9.058
_cell_angle_alpha 90.00
_cell_angle_beta 105.04
_cell_angle_gamma 90.00
_symmetry_space_group_name_H-M 'C 1 2/m 1'
_symmetry_Int_Tables_number 12
loop_
_symmetry_equiv_pos_as_xyz
'x,y,z'
'-x,-y,-z'
'-x,y,-z'
'x,-y,z'
'x+1/2,y+1/2,z'
'-x+1/2,-y+1/2,-z'
'-x+1/2,y+1/2,-z'
'x+1/2,-y+1/2,z'
loop_
_atom_site_label
_atom_site_fract_x
_atom_site_fract_y
_atom_site_fract_z
K1 0.000 0.000 0.000
Sm1 0.173 0.500 0.352
Tm1 0.000 0.000 0.500
Tm2 0.163 0.500 0.826
Te1 0.001 0.500 0.269
Te2 0.162 0.000 0.594
Te3 0.175 0.000 0.081
# formation energy without anion corrections	-1.29	eV/atom
# final energy	-4.857	eV/atom

=====

# VZnGa3 (PBE-GGA, optimized geometry)
data_VZnGa3
_chemical_formula_sum 'V1 Zn1 Ga3'
_cell_length_a 4.741
_cell_length_b 4.741
_cell_length_c 4.741
_cell_angle_alpha 90.00
_cell_angle_beta 90.00
_cell_angle_gamma 90.00
_symmetry_space_group_name_H-M 'P m -3 m'
_symmetry_Int_Tables_number 221
_symmetry_space_group_name_Hall '-P 4 2 3'
loop_
_atom_site_label
_atom_site_fract_x
_atom_site_fract_y
_atom_site_fract_z
V1 0.000 0.000 0.000
Zn1 0.500 0.500 0.500
Ga1 0.000 0.500 0.500
# ΔH_f (0 K)	71	kJ/mol of atoms
# energy above the lowest structure with this stoichiometry	0.671	eV per atom
# final energy	-3.158	eV/atom

=====

# CeLuSiAg (PBE-GGA, optimized geometry)
data_CeLuSiAg
_chemical_formula_sum 'Ce4 Lu4 Si4 Ag4'
_cell_length_a 7.162
_cell_length_b 7.162
_cell_length_c 7.162
_cell_angle_alpha 90.00
_cell_angle_beta 90.00
_cell_angle_gamma 90.00
_symmetry_space_group_name_H-M 'F -4 3 m'
_symmetry_Int_Tables_number 216
_symmetry_space_group_name_Hall 'F -4 2 3'
loop_
_atom_site_label
_atom_site_fract_x
_atom_site_fract_y
_atom_site_fract_z
Ce1 0.000 0.000 0.000
Lu1 0.000 0.000 0.500
Si1 0.250 0.250 0.250
Ag1 0.250 0.250 0.750
# formation energy without anion corrections	-0.34	eV/atom
# final energy	-5.026	eV/atom

=====

# Ca2ScB2 (PBE-GGA, optimized geometry)
data_Ca2ScB2
_chemical_formula_sum 'Ca4 Sc2 B4'
_cell_length_a 7.837
_cell_length_b 7.837
_cell_length_c 2.969
_cell_angle_alpha 90.00
_cell_angle_beta 90.00
_cell_angle_gamma 90.00
_symmetry_space_group_name_H-M 'P 4/m b m'
_symmetry_Int_Tables_number 127
_symmetry_space_group_name_Hall '-P 4 2ab'
loop_
_atom_site_label
_atom_site_fract_x
_atom_site_fract_y
_atom_site_fract_z
Ca1 0.127 0.373 0.000
Sc1 0.000 0.000 0.000
B1 0.174 0.674 0.500
# ΔH_f (0 K)	73	kJ/mol of atoms
# energy above the lowest structure with this stoichiometry	0.000	eV per atom
# final energy	-3.980	eV/atom

=====

# Pr4Y3Mg (PBE-GGA, optimized geometry)
data_Pr4Y3Mg
_chemical_formula_sum 'Pr8 Y6 Mg2'
_cell_length_a 23.466
_cell_length_b 3.658
_cell_length_c 6.182
_cell_angle_alpha 90.00
_cell_angle_beta 93.66
_cell_angle_gamma 90.00
_symmetry_space_group_name_H-M 'C 1 2/m 1'
_symmetry_Int_Tables_number 12
loop_
_symmetry_equiv_pos_as_xyz
'x,y,z'
'-x,-y,-z'
'-x,y,-z'
'x,-y,z'
'x+1/2,y+1/2,z'
'-x+1/2,-y+1/2,-z'
'-x+1/2,y+1/2,-z'
'x+1/2,-y+1/2,z'
loop_
_atom_site_label
_atom_site_fract_x
_atom_site_fract_y
_atom_site_fract_z
Pr1 0.120 0.000 0.383
Pr2 0.127 0.500 0.884
Y1 0.000 0.000 0.000
Y2 0.248 0.500 0.251
Mg1 0.000 0.500 0.500
# ΔH_f (0 K)	1	kJ/mol of atoms
# energy above the lowest structure with this stoichiometry	0.020	eV per atom
# final energy	-5.002	eV/atom

=====

# LaY2Tl (PBE-GGA, optimized geometry)
data_LaY2Tl
_chemical_formula_sum 'La3 Y6 Tl3'
_cell_length_a 3.7001
_cell_length_b 3.7001
_cell_length_c 32.7328
_cell_angle_alpha 90.00
_cell_angle_beta 90.00
_cell_angle_gamma 120.00
_symmetry_space_group_name_H-M 'R 3 m'
_symmetry_Int_Tables_number 160
_symmetry_space_group_name_Hall 'R 3 -2"'
loop_
_atom_site_label
_atom_site_fract_x
_atom_site_fract_y
_atom_site_fract_z
La1 0.0000 0.0000 0.0000
Y1 0.0000 0.0000 0.5749
Y2 0.0000 0.0000 0.7586
Tl1 0.0000 0.0000 0.1666
# ΔH_f (0 K)	-11	kJ/mol of atoms
# energy above the lowest structure with this stoichiometry	0.087	eV per atom
# final energy	-5.165	eV/atom

=====

# BaCrHg2 (PBE-GGA, optimized geometry)
data_BaCrHg2
_chemical_formula_sum 'Ba1 Cr1 Hg2'
_cell_length_a 5.120
_cell_length_b 5.120
_cell_length_c 4.519
_cell_angle_alpha 90.00
_cell_angle_beta 90.00
_cell_angle_gamma 90.00
_symmetry_space_group_name_H-M 'P 4/m m m'
_symmetry_Int_Tables_number 123
_symmetry_space_group_name_Hall '-P 4 2'
loop_
_atom_site_label
_atom_site_fract_x
_atom_site_fract_y
_atom_site_fract_z
Ba1 0.000 0.000 0.000
Cr1 0.500 0.500 0.000
Hg1 0.000 0.500 0.500
# ΔH_f (0 K)	20	kJ/mol of atoms
# final energy	-2.831	eV/atom

=====

# Sm3TlOs (PBE-GGA, optimized geometry)
data_Sm3TlOs
_chemical_formula_sum 'Sm3 Tl1 Os1'
_cell_length_a 5.472
_cell_length_b 5.472
_cell_length_c 5.472
_cell_angle_alpha 90.00
_cell_angle_beta 90.00
_cell_angle_gamma 90.00
_symmetry_space_group_name_H-M 'P m -3 m'
_symmetry_Int_Tables_number 221
_symmetry_space_group_name_Hall '-P 4 2 3'
loop_
_atom_site_label
_atom_site_fract_x
_atom_site_fract_y
_atom_site_fract_z
Sm1 0.000 0.000 0.500
Tl1 0.500 0.500 0.500
Os1 0.000 0.000 0.000
# ΔH_f (0 K)	-2	kJ/mol of atoms
# energy above the lowest structure with this stoichiometry	0.217	eV per atom
# final energy	-5.572	eV/atom

=====

# BaBi2O (PBE-GGA, optimized geometry)
data_BaBi2O
_chemical_formula_sum 'Ba4 Bi8 O4'
_cell_length_a 6.350
_cell_length_b 6.350
_cell_length_c 14.035
_cell_angle_alpha 90.00
_cell_angle_beta 90.00
_cell_angle_gamma 90.00
_symmetry_space_group_name_H-M 'I 41/a m d'
_symmetry_Int_Tables_number 141
loop_
_symmetry_equiv_pos_as_xyz
'x,y,z'
'-x,-y,-z'
'-y+1/4,x+3/4,z+1/4'
'y+1/4,-x+3/4,-z+1/4'
'-x+1/2,-y,z+1/2'
'x+1/2,y,-z+1/2'
'y+1/4,-x+1/4,z+3/4'
'-y+1/4,x+1/4,-z+3/4'
'x,-y,-z'
'-x,y,z'
'-y+1/4,-x+1/4,-z+3/4'
'y+1/4,x+1/4,z+3/4'
'-x+1/2,y,-z+1/2'
'x+1/2,-y,z+1/2'
'y+1/4,x+3/4,-z+1/4'
'-y+1/4,-x+3/4,z+1/4'
'x+1/2,y+1/2,z+1/2'
'-x+1/2,-y+1/2,-z+1/2'
'-y+3/4,x+1/4,z+3/4'
'y+3/4,-x+1/4,-z+3/4'
'-x,-y+1/2,z'
'x,y+1/2,-z'
'y+3/4,-x+3/4,z+1/4'
'-y+3/4,x+3/4,-z+1/4'
'x+1/2,-y+1/2,-z+1/2'
'-x+1/2,y+1/2,z+1/2'
'-y+3/4,-x+3/4,-z+1/4'
'y+3/4,x+3/4,z+1/4'
'-x,y+1/2,-z'
'x,-y+1/2,z'
'y+3/4,x+1/4,-z+3/4'
'-y+3/4,-x+1/4,z+3/4'
loop_
_atom_site_label
_atom_site_fract_x
_atom_site_fract_y
_atom_site_fract_z
Ba1 0.000 0.250 0.375
Bi1 0.000 0.000 0.000
O1 0.000 0.250 0.875
# formation energy without anion corrections	-0.62	eV/atom
# final energy	-4.285	eV/atom

=====

# PCSCl2 (PBE-GGA, optimized geometry)
data_PCSCl2
_chemical_formula_sum 'P1 C1 S1 Cl2'
_cell_length_a 4.596
_cell_length_b 4.596
_cell_length_c 5.031
_cell_angle_alpha 90.00
_cell_angle_beta 90.00
_cell_angle_gamma 90.00
_symmetry_space_group_name_H-M 'P 4/m m m'
_symmetry_Int_Tables_number 123
_symmetry_space_group_name_Hall '-P 4 2'
loop_
_atom_site_label
_atom_site_fract_x
_atom_site_fract_y
_atom_site_fract_z
P1 0.000 0.000 0.000
C1 0.500 0.500 0.000
S1 0.000 0.000 0.500
Cl1 0.000 0.500 0.500
# formation energy without anion corrections	1.90	eV/atom
# energy above the lowest structure with this stoichiometry	0.489	eV per atom
# final energy	-2.594	eV/atom

=====

# Dy2FeB (PBE-GGA, optimized geometry)
data_Dy2FeB
_chemical_formula_sum 'Dy6 Fe3 B3'
_cell_length_a 3.6081
_cell_length_b 3.6081
_cell_length_c 21.0492
_cell_angle_alpha 90.00
_cell_angle_beta 90.00
_cell_angle_gamma 120.00
_symmetry_space_group_name_H-M 'R 3 m'
_symmetry_Int_Tables_number 160
_symmetry_space_group_name_Hall 'R 3 -2"'
loop_
_atom_site_label
_atom_site_fract_x
_atom_site_fract_y
_atom_site_fract_z
Dy1 0.0000 0.0000 0.0000
Dy2 0.0000 0.0000 0.1727
Fe1 0.0000 0.0000 0.4197
B1 0.0000 0.0000 0.7530
# ΔH_f (0 K)	-23	kJ/mol of atoms
# final energy	-6.322	eV/atom